(1)
This record from Alexandria via LeMat-Bulk describes a relaxed CaTbBr6 crystal. The functional is GGA-PBE.

CIF file:
```
data_CaTbBr6
_chemical_formula_sum 'Ca1 Tb1 Br6'
_space_group_name_H-M_alt 'P -1'
_space_group_IT_number 2
_cell_length_a 7.0973
_cell_length_b 7.1352
_cell_length_c 7.4379
_cell_angle_alpha 64.65
_cell_angle_beta 64.62
_cell_angle_gamma 60.24
loop_
_space_group_symop_operation_xyz
'x,y,z'
'-x,-y,-z'
loop_
_atom_site_label
_atom_site_type_symbol
_atom_site_fract_x
_atom_site_fract_y
_atom_site_fract_z
Ca1 Ca 0.0000 0.0000 0.0000
Tb1 Tb 0.5000 0.5000 0.5000
Br1 Br 0.0790 0.7706 0.7121
Br2 Br 0.2866 0.5660 0.2190
Br3 Br 0.3886 0.1233 0.7483
```

Properties
Magnetic moment (μB/f.u.): 1.1
Formation energy without anion corrections (eV per formula unit): -12.4

---

(2)
This record from Alexandria via LeMat-Bulk describes a relaxed La6NdAl2 crystal. The functional is GGA-PBE.

CIF file:
```
data_La6NdAl2
_chemical_formula_sum 'La12 Nd2 Al4'
_space_group_name_H-M_alt 'P 42/m n m'
_space_group_IT_number 136
_space_group_name_Hall '-P 4n 2n'
_cell_length_a 8.0849
_cell_length_b 8.0849
_cell_length_c 10.9332
_cell_angle_alpha 90.00
_cell_angle_beta 90.00
_cell_angle_gamma 90.00
loop_
_atom_site_label
_atom_site_type_symbol
_atom_site_fract_x
_atom_site_fract_y
_atom_site_fract_z
La1 La 0.1938 0.1938 0.0000
La2 La 0.2404 0.2404 0.3215
Nd1 Nd 0.0000 0.0000 0.5000
Al1 Al 0.0000 0.0000 0.2003
```

Properties
Offset from the most stable computed form (eV per atom): 0.411
Magnetic moment (μB/f.u.): 0.0
Energy of formation (eV/atom): 0.26

---

(3)
This record from Alexandria via LeMat-Bulk describes a relaxed CoHg2As crystal. The functional is GGA-PBE.

CIF file:
```
data_CoHg2As
_chemical_formula_sum 'Co2 Hg4 As2'
_space_group_name_H-M_alt 'I 4/m m m'
_space_group_IT_number 139
_space_group_name_Hall '-I 4 2'
_cell_length_a 4.0707
_cell_length_b 4.0707
_cell_length_c 9.0226
_cell_angle_alpha 90.00
_cell_angle_beta 90.00
_cell_angle_gamma 90.00
loop_
_atom_site_label
_atom_site_type_symbol
_atom_site_fract_x
_atom_site_fract_y
_atom_site_fract_z
Co1 Co 0.0000 0.0000 0.0000
Hg1 Hg 0.0000 0.5000 0.2500
As1 As 0.0000 0.0000 0.5000
```

Properties
Magnetic moment (μB/f.u.): 1.3
Energy of formation (eV/atom): 0.54